## RbGaHgAu2 (PBE)

Data for a geometry-optimized RbGaHgAu2 structure.

Geometry as extended XYZ:
```
5
Lattice="-4.5818 -2.1373 0.8015 1.7700 -2.1916 4.2740 -1.5466 4.4022 2.8979" Properties=species:S:1:pos:R:3 pbc="T T T"
Ga 0.0000 0.0000 0.0000
Au 0.8850 -1.0958 2.1370
Au -2.2909 -1.0686 0.4008
Hg -0.7733 2.2011 1.4489
Rb -2.1792 0.0366 3.9867
```

## Properties
D(E_F) (states/eV/cell): 1.067
E_form (eV per formula unit): -0.90
Mass density (g/cm3): 8.650
Crystal system: tetragonal
DFT total energy (eV/atom): -2.3505